1.
Below is an optimized crystal structure of TaBO2F, with properties calculated at the PBEsol level.

Summary:
Uncorrected formation energy in eV per atom: -0.467
Total magnetic moment in μB per atom: 0.279
Calculated total energy in eV/atom: -6.8661
Crystal system: tetragonal

Unit cell a=3.0059 b=3.7961 c=3.7961 alpha=90.00 beta=90.00 gamma=90.00
Site moments in Bohr magnetons follow the coordinates.
Sites, in units of the cell vectors:
Ta 0.5000 0.5000 0.5000  1.05
O 0.0000 0.0000 0.5000  -0.01
O 0.0000 0.5000 0.0000  -0.01
B 0.0000 0.0000 0.0000  0.02
F 0.5000 0.0000 0.0000  0.04

---

2.
Below is an optimized crystal structure of Ta2CuW, with properties calculated at the PBEsol level.

Summary:
Total magnetic moment in μB per atom: 0.000
Energy above the most stable polymorph in this dataset in eV/f.u.: 0.00
Calculated total energy in eV/atom: -10.6101
Crystal system: orthorhombic

Unit cell a=3.3789 b=4.3490 c=5.1095 alpha=115.12 beta=109.31 gamma=90.00
Sites, in units of the cell vectors:
Ta 0.9985 0.9984 0.9970
Ta 0.7552 0.2552 0.5104
W 0.5001 0.5002 0.0002
Cu 0.2462 0.7462 0.4924

---

3.
Below is an optimized crystal structure of RbLaIN2, with properties calculated at the PBEsol level.

Summary:
Uncorrected formation energy in eV per atom: 0.044
Total magnetic moment in μB per atom: 0.602
Calculated total energy in eV/atom: -4.9944
Crystal system: tetragonal

Unit cell a=4.7803 b=4.7803 c=6.5693 alpha=90.00 beta=90.00 gamma=90.00
Site moments in Bohr magnetons follow the coordinates.
Sites, in units of the cell vectors:
La 0.0000 0.0000 0.0000  0.16
N 0.0000 0.5000 0.0000  0.97
N 0.5000 0.0000 0.0000  0.97
Rb 0.5000 0.5000 0.5000  0.00
I 0.0000 0.0000 0.5000  0.01

---

4.
Below is an optimized crystal structure of NiTe2Ru, with properties calculated at the PBEsol level.

Summary:
Uncorrected formation energy in eV per atom: 0.341
Total magnetic moment in μB per atom: 0.157
Energy above the most stable polymorph in this dataset in eV/f.u.: 1.01
Calculated total energy in eV/atom: -5.5042
Crystal system: trigonal

Unit cell a=3.6719 b=3.6719 c=8.1160 alpha=76.93 beta=76.93 gamma=60.00
Site moments in Bohr magnetons follow the coordinates.
Sites, in units of the cell vectors:
Ni 0.0000 0.0000 0.0000  0.48
Te 0.8986 0.8986 0.3042  0.01
Te 0.1014 0.1014 0.6958  0.01
Ru 0.5000 0.5000 0.5000  0.11

---

5.
Below is an optimized crystal structure of K4Cd3, with properties calculated at the PBEsol level.

Summary:
Total magnetic moment in μB per atom: 0.000
Calculated total energy in eV/atom: -1.1003
Crystal system: hexagonal

Unit cell a=6.5427 b=6.5427 c=7.0369 alpha=90.00 beta=90.00 gamma=120.00
Sites, in units of the cell vectors:
K 0.0000 0.0000 0.7679
K 0.0000 0.0000 0.2321
K 0.3333 0.6667 0.5000
K 0.6667 0.3333 0.5000
Cd 0.5000 0.5000 0.0000
Cd 0.5000 0.0000 0.0000
Cd 0.0000 0.5000 0.0000

---

6.
Below is an optimized crystal structure of Zr3PtS, with properties calculated at the PBEsol level.

Summary:
Uncorrected formation energy in eV per atom: -0.590
Total magnetic moment in μB per atom: 0.000
Calculated total energy in eV/atom: -8.3137
Crystal system: cubic

Unit cell a=4.6686 b=4.6686 c=4.6686 alpha=90.00 beta=90.00 gamma=90.00
Sites, in units of the cell vectors:
Zr 0.5000 0.0000 0.0000
Zr 0.0000 0.0000 0.5000
Zr 0.0000 0.5000 0.0000
Pt 0.5000 0.5000 0.5000
S 0.0000 0.0000 0.0000

---

7.
Below is an optimized crystal structure of Zr2CrPb, with properties calculated at the PBEsol level.

Summary:
Total magnetic moment in μB per atom: 0.000
Calculated total energy in eV/atom: -7.9734
Crystal system: tetragonal

Unit cell a=3.6971 b=4.5698 c=4.5698 alpha=90.00 beta=90.00 gamma=90.00
Sites, in units of the cell vectors:
Pb 0.5000 0.0000 0.0000
Zr 0.0000 0.5000 0.0000
Zr 0.0000 0.0000 0.5000
Cr 0.5000 0.5000 0.5000

---

8.
Below is an optimized crystal structure of Sr3BeH, with properties calculated at the PBEsol level.

Summary:
Total magnetic moment in μB per atom: 0.000
Calculated total energy in eV/atom: -1.9570
Crystal system: cubic

Unit cell a=5.8810 b=5.8810 c=5.8810 alpha=90.00 beta=90.00 gamma=90.00
Sites, in units of the cell vectors:
Sr 0.0000 0.0000 0.5000
Sr 0.5000 0.0000 0.0000
Sr 0.0000 0.5000 0.0000
Be 0.0000 0.0000 0.0000
H 0.5000 0.5000 0.5000

---

9.
Below is an optimized crystal structure of MnMo2Ru, with properties calculated at the PBEsol level.

Summary:
Total magnetic moment in μB per atom: 0.727
Energy above the most stable polymorph in this dataset in eV/f.u.: 0.00
Calculated total energy in eV/atom: -10.7288
Crystal system: cubic

Unit cell a=4.2969 b=4.2969 c=4.2969 alpha=60.00 beta=60.00 gamma=60.00
Site moments in Bohr magnetons follow the coordinates.
Sites, in units of the cell vectors:
Mo 0.7500 0.7500 0.7500  -0.32
Mo 0.0000 0.0000 0.0000  0.13
Ru 0.2500 0.2500 0.2500  0.29
Mn 0.5000 0.5000 0.5000  2.71

---

10.
Below is an optimized crystal structure of LaBe2P, with properties calculated at the PBEsol level.

Summary:
Total magnetic moment in μB per atom: 0.000
Calculated total energy in eV/atom: -5.1048
Crystal system: tetragonal

Unit cell a=3.5410 b=3.5410 c=5.4735 alpha=90.00 beta=90.00 gamma=90.00
Sites, in units of the cell vectors:
Be 0.5000 0.0000 0.0584
Be 0.0000 0.5000 0.0584
P 0.5000 0.5000 0.8240
La 0.0000 0.0000 0.5590

---

11.
Below is an optimized crystal structure of Sc2FePt, with properties calculated at the PBEsol level.

Summary:
Total magnetic moment in μB per atom: 0.000
Calculated total energy in eV/atom: -7.9781
Crystal system: tetragonal

Unit cell a=3.1758 b=3.1758 c=6.2507 alpha=90.00 beta=90.00 gamma=90.00
Sites, in units of the cell vectors:
Fe 0.5000 0.5000 0.5000
Sc 0.0000 0.0000 0.2660
Sc 0.0000 0.0000 0.7340
Pt 0.5000 0.5000 0.0000

---

12.
Below is an optimized crystal structure of Mg2TaZn, with properties calculated at the PBEsol level.

Summary:
Total magnetic moment in μB per atom: 0.001
Calculated total energy in eV/atom: -3.9808
Crystal system: cubic

Unit cell a=4.6299 b=4.6299 c=4.6299 alpha=60.00 beta=60.00 gamma=60.00
Sites, in units of the cell vectors:
Zn 0.2500 0.2500 0.2500
Mg 0.0000 0.0000 0.0000
Mg 0.7500 0.7500 0.7500
Ta 0.5000 0.5000 0.5000